Cs2Na2Pb15: optimized geometry, PBE.

a b c (Å): 8.8217 8.8217 8.8217
angles (deg): 81.54 81.54 81.54
Closest atoms and distances in Å follow each position.
Fractional positions:
Cs1 0.1563 0.1563 0.1563  18 Pb 4.09-4.53, 1 Na 4.20
Cs2 0.8437 0.8437 0.8437  18 Pb 4.09-4.53, 1 Na 4.20
Na1 0.3981 0.3981 0.3981  12 Pb 3.51-3.82, 1 Na 3.54
Na2 0.6019 0.6019 0.6019  12 Pb 3.51-3.82, 1 Na 3.54
Pb1 0.0000 0.5000 0.5000  8 Pb 3.35-3.38, 2 Na 3.51
Pb2 0.1502 0.1502 0.6537  8 Pb 3.35-3.61, 1 Na 3.63
Pb3 0.1502 0.6537 0.1502  8 Pb 3.35-3.61, 1 Na 3.63
Pb4 0.2067 0.5000 0.7933  8 Pb 3.38-3.61
Pb5 0.2067 0.7933 0.5000  8 Pb 3.38-3.61
Pb6 0.3463 0.8498 0.8498  8 Pb 3.35-3.61, 1 Na 3.63
Pb7 0.5000 0.0000 0.5000  8 Pb 3.35-3.38, 2 Na 3.51
Pb8 0.5000 0.2067 0.7933  8 Pb 3.38-3.61
Pb9 0.5000 0.5000 0.0000  8 Pb 3.35-3.38, 2 Na 3.51
Pb10 0.5000 0.7933 0.2067  8 Pb 3.38-3.61
Pb11 0.6537 0.1502 0.1502  8 Pb 3.35-3.61, 1 Na 3.63
Pb12 0.7933 0.2067 0.5000  8 Pb 3.38-3.61
Pb13 0.7933 0.5000 0.2067  8 Pb 3.38-3.61
Pb14 0.8498 0.3463 0.8498  8 Pb 3.35-3.61, 1 Na 3.63
Pb15 0.8498 0.8498 0.3463  8 Pb 3.35-3.61, 1 Na 3.63

Values from the calculation:
The energy of formation comes out at -89 meV per atom. The energy is -61.655 eV/cell. The value obtained for the density of states at the Fermi level is 0.53 states/eV/atom.